Entry from the Alexandria database: a geometry-optimized NiPt5Rh4 structure (PBE).

a b c (Å): 2.759 3.874 13.753
angles (deg): 90.00 90.00 90.00
Atoms (fractional coordinates):
Ni (0.000, 0.000, 0.000)
Pt (0.500, 0.500, 0.096)
Pt (0.500, 0.500, 0.297)
Pt (0.500, 0.500, 0.500)
Pt (0.500, 0.500, 0.703)
Pt (0.500, 0.500, 0.904)
Rh (0.000, 0.000, 0.196)
Rh (0.000, 0.000, 0.399)
Rh (0.000, 0.000, 0.601)
Rh (0.000, 0.000, 0.804)

Symmetry: No. 47
Formation energy, eV/atom: -0.0307
Mass density, g/cm3: 16.33
Uncorrected energy, Ry per atom: -0.4829